This record from Alexandria describes a relaxed structure of VPdO2F. The functional is PBE+U.

Lattice parameters (Å, degrees): 3.9966 3.9966 4.1706 90.00 90.00 90.00
Last column: nearest neighbours and their distance in Å.
Space group P4/mmm (No. 123)
Symmetry-distinct sites (fractional):
V 0.0000 0.0000 0.0000 x1  4 F 2.83, 8 O 2.89
Pd 0.5000 0.5000 0.5000 x1  4 O 2.00, 2 F 2.09
O 0.0000 0.5000 0.5000 x2  2 Pd 2.00
F 0.5000 0.5000 0.0000 x1  2 Pd 2.09

Output
Fermi-level density of states, states/eV per cell: 3.9
M_tot, μB per cell: 2.62
DFT total energy, eV per atom: -5.28